VASP calculation (PBE+U) on SbWF2 after structural relaxation.

E above lowest polymorph = 246 meV/atom
uncorrected energy = -4.459 eV per atom
SG = I-42d

abc: 4.322 4.322 15.301
angles: 90.00 90.00 90.00
Fractional coordinates of all 16 atoms:
1 Sb 0.000 0.000 0.000
2 Sb 0.000 0.500 0.250
3 Sb 0.500 0.000 0.750
4 Sb 0.500 0.500 0.500
5 W 0.000 0.000 0.500
6 W 0.000 0.500 0.750
7 W 0.500 0.000 0.250
8 W 0.500 0.500 0.000
9 F 0.120 0.250 0.625
10 F 0.250 0.620 0.875
11 F 0.250 0.880 0.375
12 F 0.380 0.250 0.125
13 F 0.620 0.750 0.125
14 F 0.750 0.120 0.375
15 F 0.750 0.380 0.875
16 F 0.880 0.750 0.625